Record 1
Compound: Sm2AsO4
Source: OQMD via LeMat-Bulk
Functional: PBE
Structure: relaxed

Values from the calculation:
Calculated total energy   -7.067 eV per atom

Structure (extended XYZ):
```
14
Lattice="4.8612 -4.8615 0.0000 -4.8612 0.0000 -4.8615 4.8612 4.8615 0.0000" Properties=species:S:1:pos:R:3 pbc="T T T"
Sm 3.6459 1.2154 -1.2154
Sm 1.2153 1.2154 -3.6461
Sm -1.2153 -1.2154 -3.6461
Sm 6.0765 -1.2154 -1.2154
O 3.5696 1.2922 -3.5693
O -1.1390 1.1386 -3.7229
O 1.1390 -1.1386 -3.7229
O 3.7222 -1.1386 -1.1386
O 3.5696 3.5693 -1.2922
O 1.2916 3.5693 -3.5693
O 1.2916 1.2922 -1.2922
O 6.0002 1.1386 -1.1386
As 2.4306 -2.4307 -2.4307
As 0.0000 0.0000 0.0000
```

***

Record 2
Compound: BiIrNO
Source: OQMD via LeMat-Bulk
Functional: PBE
Structure: relaxed

Values from the calculation:
Calculated total energy   -6.216 eV per atom
E above lowest polymorph   400 meV per atom

Structure (extended XYZ):
```
8
Lattice="-1.7639 -3.0552 0.0000 0.0000 0.0000 5.8536 -5.2433 3.0272 0.0000" Properties=species:S:1:pos:R:3 pbc="T T T"
N -1.5154 0.8749 4.6530
N -3.7279 2.1523 1.7262
Ir -3.0388 1.7545 5.8093
Ir -2.2045 1.2728 2.8825
Bi -5.1741 0.9505 3.0649
Bi -1.8331 -0.9785 0.1380
O -4.8741 0.7773 5.5205
O -2.1332 -0.8052 2.5937
```

***

Record 3
Compound: ZrFe2Si2
Source: OQMD via LeMat-Bulk
Functional: PBE
Structure: relaxed

Values from the calculation:
Calculated total energy   -7.861 eV per atom

Structure (extended XYZ):
```
5
Lattice="-1.9192 1.9192 4.6650 1.9192 -1.9192 4.6650 1.9192 1.9192 -4.6650" Properties=species:S:1:pos:R:3 pbc="T T T"
Si 0.0000 0.0000 3.4700
Si 0.0000 0.0000 5.8600
Zr 0.0000 0.0000 0.0000
Fe 0.0000 1.9192 2.3325
Fe 1.9192 0.0000 2.3325
```

***

Record 4
Compound: TbGdAu
Source: OQMD via LeMat-Bulk
Functional: PBE
Structure: relaxed

Values from the calculation:
Calculated total energy   -4.805 eV per atom
E above lowest polymorph   0 meV per atom
DFT formation energy   -0.621 eV per atom

Structure (extended XYZ):
```
12
Lattice="-2.1625 6.6420 -1.2538 -2.1589 -1.4993 -4.2188 -7.6192 -1.6350 4.4800" Properties=species:S:1:pos:R:3 pbc="T T T"
Gd -4.0987 -1.5801 -1.7333
Gd -4.0770 1.9776 -3.0087
Gd -7.8635 1.5302 2.0161
Gd -7.8419 5.0879 0.7407
Tb -7.4629 2.2524 -1.3737
Tb -4.4776 1.2553 0.3811
Tb -8.9414 -1.6179 0.7583
Tb -2.9991 5.1256 -1.7509
Au -10.0997 2.3349 -0.0537
Au -5.2413 3.9962 -0.2021
Au -6.6993 -0.4884 -0.7905
Au -1.8409 1.1729 -0.9389
```

***

Record 5
Compound: TmGeAs
Source: OQMD via LeMat-Bulk
Functional: PBE
Structure: relaxed

Values from the calculation:
Calculated total energy   -4.852 eV per atom
E above lowest polymorph   61 meV per atom

Structure (extended XYZ):
```
3
Lattice="-2.6749 -3.7530 -1.1203 -1.8873 -2.6760 3.4310 -4.6764 0.1016 0.7852" Properties=species:S:1:pos:R:3 pbc="T T T"
As -2.3096 -1.5819 0.7740
Tm 0.0000 0.0000 0.0000
Ge -6.9289 -4.7456 2.3219
```

***

Record 6
Compound: AcLaNd
Source: OQMD via LeMat-Bulk
Functional: PBE
Structure: relaxed

Values from the calculation:
Calculated total energy   -3.982 eV per atom
E above lowest polymorph   0 meV per atom
DFT formation energy   0.616 eV per atom

Structure (extended XYZ):
```
3
Lattice="-4.4989 2.2010 2.8190 -3.4757 3.7539 -2.6191 -5.3398 -1.5553 -1.4489" Properties=species:S:1:pos:R:3 pbc="T T T"
La -6.6572 2.1998 -0.6245
Nd -3.3286 1.0999 -0.3122
Ac 0.0000 0.0000 0.0000
```

***

Record 7
Compound: Cu2Ag3
Source: OQMD via LeMat-Bulk
Functional: PBE
Structure: relaxed

Values from the calculation:
Calculated total energy   -3.111 eV per atom
E above lowest polymorph   38 meV per atom
DFT formation energy   0.070 eV per atom

Structure (extended XYZ):
```
10
Lattice="9.3941 -1.4293 0.0000 9.3941 1.4293 0.0000 -0.9038 0.0000 5.7836" Properties=species:S:1:pos:R:3 pbc="T T T"
Cu -0.3365 0.0000 2.7379
Cu 3.0635 0.0000 3.3812
Cu 0.1649 0.0000 0.1842
Cu 10.9190 0.0000 1.8054
Ag 3.4803 0.0000 0.6283
Ag 7.1763 0.0000 4.1116
Ag 14.1181 0.0000 5.1364
Ag 14.6407 0.0000 2.3780
Ag 7.4378 0.0000 1.1402
Ag 10.4213 0.0000 4.5230
```

***

Record 8
Compound: GdZnCuTe3
Source: OQMD via LeMat-Bulk
Functional: PBE
Structure: relaxed

Values from the calculation:
Calculated total energy   -3.826 eV per atom

Structure (extended XYZ):
```
12
Lattice="2.0622 -7.3984 0.0000 2.0622 7.3984 0.0000 0.0000 0.0000 11.3064" Properties=species:S:1:pos:R:3 pbc="T T T"
Cu 2.0622 -0.2728 8.4798
Cu 2.0622 0.2728 2.8266
Te 2.0622 2.1992 4.8021
Te 2.0622 -2.1992 6.5043
Te 2.0622 2.1992 0.8511
Te 2.0622 -2.1992 10.4553
Te 2.0622 6.0718 2.8266
Te 2.0622 -6.0718 8.4798
Zn 2.0622 -5.6222 2.8266
Zn 2.0622 5.6222 8.4798
Gd 0.0000 0.0000 0.0000
Gd 0.0000 0.0000 5.6532
```

***

Record 9
Compound: Be2CdIr
Source: OQMD via LeMat-Bulk
Functional: PBE
Structure: relaxed

Values from the calculation:
Calculated total energy   -4.022 eV per atom

Structure (extended XYZ):
```
4
Lattice="2.6135 -3.2114 -0.9390 -1.5891 -3.7407 -1.2277 0.4369 -1.2735 -4.0265" Properties=species:S:1:pos:R:3 pbc="T T T"
Cd 0.7307 -4.1128 -3.0966
Be 0.0000 0.0000 0.0000
Be 1.0960 -6.1693 -4.6449
Ir 0.3653 -2.0564 -1.5483
```

***

Record 10
Compound: YErIn2
Source: OQMD via LeMat-Bulk
Functional: PBE
Structure: relaxed

Values from the calculation:
Calculated total energy   -4.561 eV per atom
E above lowest polymorph   35 meV per atom

Structure (extended XYZ):
```
4
Lattice="4.2922 0.0000 0.0000 0.0000 2.2669 5.7064 0.0000 -2.2669 5.7064" Properties=species:S:1:pos:R:3 pbc="T T T"
In 0.0000 0.0000 0.9888
In 2.1461 0.0000 10.4218
Y 2.1461 0.0000 7.2844
Er 0.0000 0.0000 4.1307
```

***

Record 11
Compound: TbHoTlTe3
Source: OQMD via LeMat-Bulk
Functional: PBE
Structure: relaxed

Values from the calculation:
Calculated total energy   -4.460 eV per atom
E above lowest polymorph   91 meV per atom

Structure (extended XYZ):
```
12
Lattice="1.7795 6.8077 3.7335 -5.3162 -4.2314 -4.1574 -4.4650 -4.4454 10.2341" Properties=species:S:1:pos:R:3 pbc="T T T"
Tb 0.1622 4.9167 5.7347
Tb -8.1638 -6.7858 4.0754
Tl -3.3096 0.7661 9.4736
Tl -4.6921 -2.6352 0.3365
Te -2.4423 0.8649 2.8384
Te -8.6661 -6.9997 6.9663
Te 0.6645 5.1306 2.8438
Te -5.5593 -2.7340 6.9718
Te -6.6394 -4.9820 2.3211
Te -1.3622 3.1129 7.4891
Ho -4.0008 -0.9345 4.9051
Ho -1.7683 1.2881 -0.2120
```

***

Record 12
Compound: LiCdCuB
Source: OQMD via LeMat-Bulk
Functional: PBE
Structure: relaxed

Values from the calculation:
Calculated total energy   -2.798 eV per atom
E above lowest polymorph   102 meV per atom

Structure (extended XYZ):
```
4
Lattice="0.0000 2.9527 2.9527 2.9527 0.0000 2.9527 2.9527 2.9527 0.0000" Properties=species:S:1:pos:R:3 pbc="T T T"
B 0.0000 0.0000 0.0000
Cu 4.4291 4.4291 4.4291
Cd 2.9527 2.9527 2.9527
Li 1.4764 1.4764 1.4764
```

***

- What is the calculated total energy in the eighth record?
  -3.826 eV per atom

***

Copy entry 11 word for word.
Compound: TbHoTlTe3
Source: OQMD via LeMat-Bulk
Functional: PBE
Structure: relaxed

Values from the calculation:
Calculated total energy   -4.460 eV per atom
E above lowest polymorph   91 meV per atom

Structure (extended XYZ):
```
12
Lattice="1.7795 6.8077 3.7335 -5.3162 -4.2314 -4.1574 -4.4650 -4.4454 10.2341" Properties=species:S:1:pos:R:3 pbc="T T T"
Tb 0.1622 4.9167 5.7347
Tb -8.1638 -6.7858 4.0754
Tl -3.3096 0.7661 9.4736
Tl -4.6921 -2.6352 0.3365
Te -2.4423 0.8649 2.8384
Te -8.6661 -6.9997 6.9663
Te 0.6645 5.1306 2.8438
Te -5.5593 -2.7340 6.9718
Te -6.6394 -4.9820 2.3211
Te -1.3622 3.1129 7.4891
Ho -4.0008 -0.9345 4.9051
Ho -1.7683 1.2881 -0.2120
```